# Mn2MoIrBr

Crystalline Mn2MoIrBr at its relaxed geometry (PBE, Alexandria via LeMat-Bulk).

a = 5.0249 Å, b = 5.0249 Å, c = 4.6471 Å
α = 90.00°, β = 90.00°, γ = 90.00°
Positions (direct):
Mn1 0.0000 0.5000 0.0000
Mn2 0.5000 0.0000 0.0000
Mo1 0.0000 0.0000 0.0000
Ir1 0.0000 0.0000 0.5000
Br1 0.5000 0.5000 0.5000

Calculated values
Its density of states at the Fermi level is 1.02 states/eV per atom. The uncorrected formation energy is 31.115 kcal/mol of atoms.